Entry 1:
La3FeAg | GGA-PBEsol | relaxed

```
data_La3FeAg
_chemical_formula_sum 'La3 Fe1 Ag1'
_space_group_name_H-M_alt 'P 1'
_space_group_IT_number 1
_cell_length_a 5.152
_cell_length_b 5.152
_cell_length_c 5.152
_cell_angle_alpha 90.00
_cell_angle_beta 90.00
_cell_angle_gamma 90.00
loop_
_space_group_symop_operation_xyz
'x,y,z'
loop_
_atom_site_label
_atom_site_fract_x
_atom_site_fract_y
_atom_site_fract_z
Ag1 0.500 0.500 0.500
La1 0.500 0.000 0.000
La2 0.000 0.000 0.500
La3 0.000 0.500 0.000
Fe1 0.000 0.000 0.000
```

## Properties
formation energy from the elements: 17 meV/atom

---

Entry 2:
Rb3SeCl | GGA-PBEsol | relaxed

```
data_Rb3SeCl
_chemical_formula_sum 'Rb3 Se1 Cl1'
_space_group_name_H-M_alt 'P 1'
_space_group_IT_number 1
_cell_length_a 6.409
_cell_length_b 6.409
_cell_length_c 6.409
_cell_angle_alpha 90.00
_cell_angle_beta 90.00
_cell_angle_gamma 90.00
loop_
_space_group_symop_operation_xyz
'x,y,z'
loop_
_atom_site_label
_atom_site_fract_x
_atom_site_fract_y
_atom_site_fract_z
Rb1 0.000 0.500 0.000
Rb2 0.500 0.000 0.000
Rb3 0.000 0.000 0.500
Se1 0.000 0.000 0.000
Cl1 0.500 0.500 0.500
```

## Properties
formation energy from raw total energies: -1.14 eV/atom

---

Entry 3:
TaBeNi2 | GGA-PBEsol | relaxed

```
data_TaBeNi2
_chemical_formula_sum 'Ta1 Be1 Ni2'
_space_group_name_H-M_alt 'P 1'
_space_group_IT_number 1
_cell_length_a 2.671
_cell_length_b 2.670
_cell_length_c 6.324
_cell_angle_alpha 90.00
_cell_angle_beta 90.01
_cell_angle_gamma 90.00
loop_
_space_group_symop_operation_xyz
'x,y,z'
loop_
_atom_site_label
_atom_site_fract_x
_atom_site_fract_y
_atom_site_fract_z
Ni1 0.000 0.000 0.299
Ni2 0.000 0.000 0.701
Be1 0.500 0.500 0.500
Ta1 0.500 0.500 0.000
```

## Properties
formation energy from the elements: -326 meV/atom

---

Entry 4:
KNa2Tl | GGA-PBEsol | relaxed

```
data_KNa2Tl
_chemical_formula_sum 'K1 Na2 Tl1'
_space_group_name_H-M_alt 'P 1'
_space_group_IT_number 1
_cell_length_a 5.739
_cell_length_b 5.739
_cell_length_c 5.739
_cell_angle_alpha 60.00
_cell_angle_beta 60.00
_cell_angle_gamma 60.00
loop_
_space_group_symop_operation_xyz
'x,y,z'
loop_
_atom_site_label
_atom_site_fract_x
_atom_site_fract_y
_atom_site_fract_z
K1 0.000 0.000 0.000
Na1 0.250 0.250 0.250
Na2 0.750 0.750 0.750
Tl1 0.500 0.500 0.500
```

## Properties
formation energy from the elements: -23 meV/atom

---

Here are the calculated volume numbers, same order: 27.4; 52.6; 11.3; 33.4 (Å³ per atom).